DFT (PBE-GGA) results for TcHg2Mo after structural relaxation.

Density of states at the Fermi level, states/eV per atom: 0.6908
Relative energy among the computed polymorphs, eV/atom: 0.120
Final energy, eV/atom: -5.019

Structure (CIF):
```
data_TcHg2Mo
_space_group_name_H-M_alt 'P 1'
_space_group_IT_number 1
_cell_length_a 2.916
_cell_length_b 2.916
_cell_length_c 9.865
_cell_angle_alpha 90.00
_cell_angle_beta 90.00
_cell_angle_gamma 114.68
loop_
_space_group_symop_operation_xyz
'x,y,z'
loop_
_atom_site_label
_atom_site_type_symbol
_atom_site_fract_x
_atom_site_fract_y
_atom_site_fract_z
_atom_site_occupancy
Tc1 Tc 0.000 0.000 0.000 1
Hg1 Hg 0.000 0.000 0.454 1
Hg2 Hg 0.500 0.500 0.743 1
Mo1 Mo 0.500 0.500 0.195 1
```

***

DFT (PBE-GGA) results for TcHg2Mo after structural relaxation.

Density of states at the Fermi level, states/eV per atom: 1.0901
Relative energy among the computed polymorphs, eV/atom: 0.423
Final energy, eV/atom: -4.716

Structure (CIF):
```
data_TcHg2Mo
_space_group_name_H-M_alt 'P 1'
_space_group_IT_number 1
_cell_length_a 3.989
_cell_length_b 3.989
_cell_length_c 4.476
_cell_angle_alpha 90.00
_cell_angle_beta 90.00
_cell_angle_gamma 90.00
loop_
_space_group_symop_operation_xyz
'x,y,z'
loop_
_atom_site_label
_atom_site_type_symbol
_atom_site_fract_x
_atom_site_fract_y
_atom_site_fract_z
_atom_site_occupancy
Tc1 Tc 0.000 0.000 0.000 1
Hg1 Hg 0.000 0.500 0.500 1
Hg2 Hg 0.500 0.000 0.500 1
Mo1 Mo 0.500 0.500 0.000 1
```

***

DFT (PBE-GGA) results for TcHg2Mo after structural relaxation.

Density of states at the Fermi level, states/eV per atom: 1.0216
Relative energy among the computed polymorphs, eV/atom: 0.374
Final energy, eV/atom: -4.764

Structure (CIF):
```
data_TcHg2Mo
_space_group_name_H-M_alt 'P 1'
_space_group_IT_number 1
_cell_length_a 5.091
_cell_length_b 5.091
_cell_length_c 5.037
_cell_angle_alpha 99.89
_cell_angle_beta 99.89
_cell_angle_gamma 33.80
loop_
_space_group_symop_operation_xyz
'x,y,z'
loop_
_atom_site_label
_atom_site_type_symbol
_atom_site_fract_x
_atom_site_fract_y
_atom_site_fract_z
_atom_site_occupancy
Tc1 Tc 0.000 0.000 0.000 1
Hg1 Hg 0.251 0.251 0.752 1
Hg2 Hg 0.749 0.749 0.248 1
Mo1 Mo 0.500 0.500 0.500 1
```

***

DFT (PBE-GGA) results for TcHgMo4 after structural relaxation.

Density of states at the Fermi level, states/eV per atom: 0.9628
Final energy, eV/atom: -8.557

Structure (CIF):
```
data_TcHgMo4
_space_group_name_H-M_alt 'P 1'
_space_group_IT_number 1
_cell_length_a 5.227
_cell_length_b 5.227
_cell_length_c 5.227
_cell_angle_alpha 60.00
_cell_angle_beta 60.00
_cell_angle_gamma 60.00
loop_
_space_group_symop_operation_xyz
'x,y,z'
loop_
_atom_site_label
_atom_site_type_symbol
_atom_site_fract_x
_atom_site_fract_y
_atom_site_fract_z
_atom_site_occupancy
Tc1 Tc 0.000 0.000 0.000 1
Hg1 Hg 0.750 0.750 0.750 1
Mo1 Mo 0.376 0.376 0.376 1
Mo2 Mo 0.376 0.376 0.873 1
Mo3 Mo 0.376 0.873 0.376 1
Mo4 Mo 0.873 0.376 0.376 1
```

***

DFT (PBE-GGA) results for Tc2HgMo after structural relaxation.

Density of states at the Fermi level, states/eV per atom: 1.1179
Final energy, eV/atom: -7.569

Structure (CIF):
```
data_Tc2HgMo
_space_group_name_H-M_alt 'P 1'
_space_group_IT_number 1
_cell_length_a 2.783
_cell_length_b 2.783
_cell_length_c 9.217
_cell_angle_alpha 90.00
_cell_angle_beta 90.00
_cell_angle_gamma 111.20
loop_
_space_group_symop_operation_xyz
'x,y,z'
loop_
_atom_site_label
_atom_site_type_symbol
_atom_site_fract_x
_atom_site_fract_y
_atom_site_fract_z
_atom_site_occupancy
Tc1 Tc 0.000 0.000 0.227 1
Tc2 Tc 0.000 0.000 0.773 1
Hg1 Hg 0.500 0.500 0.500 1
Mo1 Mo 0.500 0.500 0.000 1
```

***

DFT (PBE-GGA) results for TcHg2Mo after structural relaxation.

Density of states at the Fermi level, states/eV per atom: 1.0045
Relative energy among the computed polymorphs, eV/atom: 0.871
Final energy, eV/atom: -4.268

Structure (CIF):
```
data_TcHg2Mo
_space_group_name_H-M_alt 'P 1'
_space_group_IT_number 1
_cell_length_a 6.036
_cell_length_b 6.036
_cell_length_c 6.036
_cell_angle_alpha 101.86
_cell_angle_beta 101.86
_cell_angle_gamma 126.09
loop_
_space_group_symop_operation_xyz
'x,y,z'
loop_
_atom_site_label
_atom_site_type_symbol
_atom_site_fract_x
_atom_site_fract_y
_atom_site_fract_z
_atom_site_occupancy
Tc1 Tc 0.000 0.000 0.000 1
Tc2 Tc 0.750 0.250 0.500 1
Hg1 Hg 0.122 0.625 0.997 1
Hg2 Hg 0.375 0.372 0.497 1
Hg3 Hg 0.628 0.125 0.003 1
Hg4 Hg 0.875 0.878 0.503 1
Mo1 Mo 0.250 0.750 0.500 1
Mo2 Mo 0.500 0.500 0.000 1
```

***

DFT (PBE-GGA) results for TcHg2Mo after structural relaxation.

Density of states at the Fermi level, states/eV per atom: 1.1186
Relative energy among the computed polymorphs, eV/atom: 0.422
Final energy, eV/atom: -4.717

Structure (CIF):
```
data_TcHg2Mo
_space_group_name_H-M_alt 'P 1'
_space_group_IT_number 1
_cell_length_a 5.295
_cell_length_b 5.295
_cell_length_c 5.295
_cell_angle_alpha 135.75
_cell_angle_beta 135.75
_cell_angle_gamma 64.37
loop_
_space_group_symop_operation_xyz
'x,y,z'
loop_
_atom_site_label
_atom_site_type_symbol
_atom_site_fract_x
_atom_site_fract_y
_atom_site_fract_z
_atom_site_occupancy
Tc1 Tc 0.000 0.000 0.000 1
Hg1 Hg 0.250 0.750 0.500 1
Hg2 Hg 0.750 0.250 0.500 1
Mo1 Mo 0.500 0.500 0.000 1
```

***

DFT (PBE-GGA) results for TcHg4Mo after structural relaxation.

Density of states at the Fermi level, states/eV per atom: 0.7703
Final energy, eV/atom: -2.694

Structure (CIF):
```
data_TcHg4Mo
_space_group_name_H-M_alt 'P 1'
_space_group_IT_number 1
_cell_length_a 5.586
_cell_length_b 5.586
_cell_length_c 5.586
_cell_angle_alpha 60.00
_cell_angle_beta 60.00
_cell_angle_gamma 60.00
loop_
_space_group_symop_operation_xyz
'x,y,z'
loop_
_atom_site_label
_atom_site_type_symbol
_atom_site_fract_x
_atom_site_fract_y
_atom_site_fract_z
_atom_site_occupancy
Tc1 Tc 0.000 0.000 0.000 1
Hg1 Hg 0.125 0.625 0.625 1
Hg2 Hg 0.625 0.125 0.625 1
Hg3 Hg 0.625 0.625 0.125 1
Hg4 Hg 0.625 0.625 0.625 1
Mo1 Mo 0.250 0.250 0.250 1
```